# Ho5SnSe5

Crystalline Ho5SnSe5 at its relaxed geometry (PBE, Alexandria).

Structure (POSCAR):
```
Ho5SnSe5
1.0
6.5043 -2.9162 0.0000
6.5043 2.9162 0.0000
-2.5828 0.0000 7.8317
Ho Sn Se
5 1 5
Direct
0.0000 0.0000 0.0000
0.3328 0.3328 0.6592
0.3351 0.3351 0.1774
0.6649 0.6649 0.8226
0.6672 0.6672 0.3408
0.5000 0.5000 0.0000
0.1664 0.1664 0.3356
0.1709 0.1709 0.8379
0.5000 0.5000 0.5000
0.8291 0.8291 0.1621
0.8336 0.8336 0.6644
```

Space group ... C2/m (12)
Energy relative to the elements, uncorrected ... -157.2 kJ/mol of atoms
Volume ... 27.009 Å³ per atom
ρ ... 7.479 g cm⁻³
Total magnetization ... 0.00 Bohr magnetons per cell